Cd2Au7 | PBE | optimized geometry

POSCAR file:
```
Cd2Au7
1.0
-1.438 0.525 -2.491
-1.245 -1.616 2.094
-12.326 25.752 12.541
Au Cd
7 2
Cartesian
0.000 0.000 0.000
-2.330 1.808 0.010
-3.228 3.107 2.518
-2.895 6.049 2.946
-9.431 19.703 9.595
-11.781 21.554 9.626
-12.680 22.852 12.134
-5.318 8.051 3.050
-9.692 16.609 9.094
```

The calculation puts the calculated formation energy at 0.006 eV per atom. As for the volume: 230.85 Å³/f.u.